(1)
{
  "formula": "RbSr3Ta",
  "functional": "GGA-PBE",
  "state": "relaxed",
  "e_above_lowest_polymorph_ev_per_atom": 0.0000,
  "e_tot_ev_per_atom": -2.686,
  "delta_e_f_ev_per_fu": 4.4,
  "space_group": "Pm-3m, No. 221",
  "lattice": [[6.268, 0.000, 0.000], [0.000, 6.268, 0.000], [0.000, 0.000, 6.268]],
  "species": ["Rb", "Ta", "Sr", "Sr", "Sr"],
  "fractional_positions": [[0.500, 0.500, 0.500], [0.000, 0.000, 0.000], [0.500, 0.000, 0.000], [0.000, 0.000, 0.500], [0.000, 0.500, 0.000]]
}

---

(2)
{
  "formula": "CdIn3O6",
  "functional": "GGA-PBE",
  "state": "relaxed",
  "e_tot_ev_per_atom": -5.112,
  "space_group": "Cmc2_1, No. 36",
  "formation_energy_uncorrected_mev_per_atom": -1224.0,
  "lattice": [[-1.450, -5.271, 1.007], [4.127, -2.133, -5.221], [4.216, -0.095, 5.573]],
  "species": ["In", "In", "In", "In", "In", "In", "O", "O", "O", "O", "O", "O", "O", "O", "O", "O", "O", "O", "Cd", "Cd"],
  "fractional_positions": [[0.460, 0.327, 0.089], [0.460, 0.911, 0.673], [0.960, 0.673, 0.911], [0.406, 0.396, 0.604], [0.906, 0.604, 0.396], [0.960, 0.089, 0.327], [0.805, 0.971, 0.029], [0.171, 0.685, 0.643], [0.623, 0.219, 0.781], [0.202, 0.106, 0.569], [0.702, 0.569, 0.106], [0.702, 0.894, 0.431], [0.171, 0.357, 0.315], [0.202, 0.431, 0.894], [0.671, 0.643, 0.685], [0.123, 0.781, 0.219], [0.305, 0.029, 0.971], [0.671, 0.315, 0.357], [0.983, 0.153, 0.847], [0.483, 0.847, 0.153]]
}

---

(3)
{
  "formula": "Ca2MgPd3Au12",
  "functional": "GGA-PBE",
  "state": "relaxed",
  "e_tot_ev_per_atom": -3.367,
  "delta_e_f_ev_per_fu": -0.1,
  "space_group": "R-3m, No. 166",
  "lattice": [[8.119, -0.355, -0.252], [3.700, 7.235, -0.252], [3.700, 2.154, 6.912]],
  "species": ["Pd", "Pd", "Pd", "Au", "Au", "Au", "Au", "Au", "Au", "Au", "Au", "Au", "Au", "Au", "Au", "Ca", "Ca", "Mg"],
  "fractional_positions": [[0.000, 0.500, 0.000], [0.000, 0.000, 0.500], [0.500, 0.000, 0.000], [0.146, 0.633, 0.146], [0.376, 0.937, 0.376], [0.854, 0.854, 0.367], [0.376, 0.376, 0.937], [0.624, 0.063, 0.624], [0.146, 0.146, 0.633], [0.063, 0.624, 0.624], [0.937, 0.376, 0.376], [0.854, 0.367, 0.854], [0.624, 0.624, 0.063], [0.367, 0.854, 0.854], [0.633, 0.146, 0.146], [0.397, 0.397, 0.397], [0.603, 0.603, 0.603], [0.000, 0.000, 0.000]]
}

---

(4)
{
  "formula": "RuCSe3",
  "functional": "GGA-PBE",
  "state": "relaxed",
  "e_above_lowest_polymorph_ev_per_atom": 0.4523,
  "e_tot_ev_per_atom": -4.031,
  "space_group": "Pm-3m, No. 221",
  "formation_energy_uncorrected_mev_per_atom": 1759.6,
  "lattice": [[-1.326, -4.192, 2.040], [4.346, -0.343, 2.121], [-1.690, 2.409, 3.852]],
  "species": ["Se", "Se", "Se", "Ru", "C"],
  "fractional_positions": [[0.500, 0.000, 0.000], [0.000, 0.500, 0.000], [0.000, 0.000, 0.500], [0.000, 0.000, 0.000], [0.500, 0.500, 0.500]]
}

---

(5)
{
  "formula": "TbHoNiPt",
  "functional": "GGA-PBE",
  "state": "relaxed",
  "e_above_lowest_polymorph_ev_per_atom": 0.0660,
  "e_tot_ev_per_atom": -6.066,
  "delta_e_f_ev_per_fu": -3.2,
  "space_group": "F-43m, No. 216",
  "lattice": [[-3.768, 2.417, -1.930], [-2.703, -2.079, -3.484], [-4.562, -1.417, 0.974]],
  "species": ["Pt", "Tb", "Ni", "Ho"],
  "fractional_positions": [[0.750, 0.750, 0.750], [0.500, 0.500, 0.500], [0.250, 0.250, 0.250], [0.000, 0.000, 0.000]]
}

---

(6)
{
  "formula": "Pm3Y8Th3",
  "functional": "GGA-PBE",
  "state": "relaxed",
  "e_tot_ev_per_atom": -6.137,
  "delta_e_f_ev_per_fu": 2.3,
  "space_group": "Immm, No. 71",
  "lattice": [[5.585, 0.000, 1.122], [2.761, 9.300, 0.708], [1.074, -3.251, 9.105]],
  "species": ["Pm", "Pm", "Pm", "Th", "Th", "Th", "Y", "Y", "Y", "Y", "Y", "Y", "Y", "Y"],
  "fractional_positions": [[0.190, 0.810, 0.810], [0.500, 0.500, 0.500], [0.810, 0.190, 0.190], [0.000, 0.185, 0.815], [0.000, 0.815, 0.185], [0.500, 0.000, 0.000], [0.658, 0.566, 0.119], [0.342, 0.881, 0.434], [0.161, 0.443, 0.236], [0.161, 0.236, 0.443], [0.839, 0.557, 0.764], [0.342, 0.434, 0.881], [0.839, 0.764, 0.557], [0.658, 0.119, 0.566]]
}

---

(7)
{
  "formula": "V3CdBi",
  "functional": "GGA-PBE",
  "state": "relaxed",
  "e_above_lowest_polymorph_ev_per_atom": 0.0000,
  "e_tot_ev_per_atom": -4.961,
  "delta_e_f_ev_per_fu": 7.3,
  "space_group": "Pm-3m, No. 221",
  "lattice": [[4.962, 0.000, 0.000], [0.000, 4.962, 0.000], [0.000, 0.000, 4.962]],
  "species": ["V", "V", "V", "Bi", "Cd"],
  "fractional_positions": [[0.000, 0.500, 0.000], [0.500, 0.000, 0.000], [0.000, 0.000, 0.500], [0.500, 0.500, 0.500], [0.000, 0.000, 0.000]]
}

---

(8)
{
  "formula": "NaSe2I8",
  "functional": "GGA-PBE",
  "state": "relaxed",
  "e_tot_ev_per_atom": -2.015,
  "space_group": "C2/m, No. 12",
  "formation_energy_uncorrected_mev_per_atom": -133.9,
  "lattice": [[-6.100, -4.417, 2.573], [-3.704, -3.813, -7.052], [2.510, -8.462, -0.302]],
  "species": ["I", "I", "I", "I", "I", "I", "I", "I", "Se", "Se", "Na"],
  "fractional_positions": [[0.644, 0.200, 0.200], [0.181, 0.321, 0.900], [0.894, 0.606, 0.606], [0.356, 0.800, 0.800], [0.106, 0.394, 0.394], [0.181, 0.900, 0.321], [0.819, 0.100, 0.679], [0.819, 0.679, 0.100], [0.672, 0.839, 0.839], [0.328, 0.161, 0.161], [0.000, 0.000, 0.000]]
}

---

(9)
{
  "formula": "DyGa2Co3",
  "functional": "GGA-PBE",
  "state": "relaxed",
  "e_tot_ev_per_atom": -5.706,
  "delta_e_f_ev_per_fu": -2.3,
  "space_group": "P6/mmm, No. 191",
  "lattice": [[4.493, -7.782, 0.000], [4.493, 7.782, 0.000], [0.000, 0.000, 3.814]],
  "species": ["Dy", "Dy", "Dy", "Co", "Co", "Co", "Co", "Co", "Co", "Co", "Co", "Co", "Ga", "Ga", "Ga", "Ga", "Ga", "Ga"],
  "fractional_positions": [[0.000, 0.000, 0.000], [0.333, 0.667, 0.500], [0.667, 0.333, 0.500], [0.500, 0.000, 0.000], [0.365, 0.182, 0.000], [0.818, 0.182, 0.000], [0.818, 0.635, 0.000], [0.182, 0.818, 0.000], [0.000, 0.500, 0.000], [0.500, 0.500, 0.000], [0.635, 0.818, 0.000], [0.182, 0.365, 0.000], [0.318, 0.318, 0.500], [0.000, 0.318, 0.500], [0.682, 0.682, 0.500], [0.000, 0.682, 0.500], [0.682, 0.000, 0.500], [0.318, 0.000, 0.500]]
}

---

(10)
{
  "formula": "Cs2CuMo2",
  "functional": "GGA-PBE",
  "state": "relaxed",
  "e_above_lowest_polymorph_ev_per_atom": 0.1624,
  "e_tot_ev_per_atom": -4.019,
  "delta_e_f_ev_per_fu": 7.4,
  "space_group": "I4/mmm, No. 139",
  "lattice": [[-1.512, -5.982, 4.094], [-2.202, -3.606, -6.082], [1.598, -6.024, -1.515]],
  "species": ["Cu", "Cs", "Cs", "Mo", "Mo"],
  "fractional_positions": [[0.000, 0.000, 0.000], [0.750, 0.250, 0.500], [0.250, 0.750, 0.500], [0.636, 0.636, 0.729], [0.364, 0.364, 0.271]]
}

---

(11)
{
  "formula": "La3PmTh2S6",
  "functional": "GGA-PBE",
  "state": "relaxed",
  "e_tot_ev_per_atom": -6.959,
  "space_group": "C2/m, No. 12",
  "formation_energy_uncorrected_mev_per_atom": -2030.5,
  "lattice": [[-0.066, 6.916, 1.472], [-2.287, -2.277, -6.292], [-5.435, -2.120, 4.065]],
  "species": ["S", "S", "S", "S", "S", "S", "Th", "Th", "La", "La", "La", "Pm"],
  "fractional_positions": [[0.252, 0.252, 0.758], [0.748, 0.748, 0.242], [0.919, 0.586, 0.757], [0.586, 0.919, 0.757], [0.414, 0.081, 0.243], [0.081, 0.414, 0.243], [0.333, 0.667, 0.000], [0.667, 0.333, 0.000], [0.500, 0.500, 0.500], [0.166, 0.834, 0.500], [0.834, 0.166, 0.500], [0.000, 0.000, 0.000]]
}

---

(12)
{
  "formula": "BaScTc2Bi",
  "functional": "GGA-PBE",
  "state": "relaxed",
  "e_tot_ev_per_atom": -5.378,
  "delta_e_f_ev_per_fu": 6.0,
  "space_group": "P4/mmm, No. 123",
  "lattice": [[5.217, 0.000, 0.000], [0.000, 5.422, 0.000], [0.000, 0.000, 5.217]],
  "species": ["Bi", "Tc", "Tc", "Sc", "Ba"],
  "fractional_positions": [[0.000, 0.000, 0.000], [0.000, 0.000, 0.500], [0.500, 0.000, 0.000], [0.000, 0.500, 0.000], [0.500, 0.500, 0.500]]
}

---

| no. | density (g cm⁻³) | D(E_F) (states/eV/cell) |
| --- | --- | --- |
| 1 | 3.6 | 7.67 |
| 2 | 7.0 | 18.07 |
| 3 | 10.9 | 6.68 |
| 4 | 5.1 | 8.22 |
| 5 | 11.7 | 3.73 |
| 6 | 6.6 | 21.80 |
| 7 | 6.4 | 11.81 |
| 8 | 3.6 | 5.50 |
| 9 | 8.9 | 13.91 |
| 10 | 4.3 | 6.77 |
| 11 | 6.9 | 7.12 |
| 12 | 6.6 | 7.00 |